# 1
10
Lattice="3.9591 0.0000 0.0000 0.0000 3.9591 0.0000 0.0000 0.0000 14.4763" Properties=species:S:1:pos:R:3 comment="YErSe2O | Alexandria | PBE | relaxed" space_group="No. 129" density_g_cm3=6.29 dft_energy_ev_per_atom=-6.9835 dos_ef_per_ev_cell=2.2 formation_energy_uncorrected_ev_per_atom=-2.39 pbc="T T T"
Y 0.9898 0.9898 1.1028
Y 2.9693 2.9693 13.3735
Er 0.9898 0.9898 9.0834
Er 2.9693 2.9693 5.3928
Se 0.9898 0.9898 5.9650
Se 0.9898 0.9898 11.6921
Se 2.9693 2.9693 2.7842
Se 2.9693 2.9693 8.5113
O 0.9898 2.9693 0.0000
O 2.9693 0.9898 0.0000

***

# 2
18
Lattice="4.8297 0.0000 0.0000 0.0000 4.8297 0.0000 0.0000 0.0000 9.6500" Properties=species:S:1:pos:R:3 comment="Er2SiO6 | Alexandria | PBE | relaxed" space_group="No. 136" density_g_cm3=6.77 dft_energy_ev_per_atom=-7.5690 dos_ef_per_ev_cell=6.8 formation_energy_uncorrected_ev_per_atom=-2.65 pbc="T T T"
Er 0.0000 0.0000 1.6441
Er 0.0000 0.0000 8.0059
Er 2.4149 2.4149 3.1809
Er 2.4149 2.4149 6.4691
Si 0.0000 0.0000 4.8250
Si 2.4149 2.4149 0.0000
O 0.8702 0.8702 3.5095
O 0.8702 0.8702 6.1405
O 1.1558 1.1558 0.0000
O 1.2591 3.5707 4.8250
O 1.5446 3.2851 1.3155
O 1.5446 3.2851 8.3345
O 3.2851 1.5446 1.3155
O 3.2851 1.5446 8.3345
O 3.5707 1.2591 4.8250
O 3.6739 3.6739 0.0000
O 3.9595 3.9595 3.5095
O 3.9595 3.9595 6.1405

***

# 3
80
Lattice="-7.4990 7.4990 7.4990 7.4990 -7.4990 7.4990 7.4990 7.4990 -7.4990" Properties=species:S:1:pos:R:3 comment="Er12Si3O5 | Alexandria | PBE | relaxed" space_group="No. 230" density_g_cm3=8.55 dft_energy_ev_per_atom=-6.4334 dos_ef_per_ev_cell=51.6 formation_energy_uncorrected_ev_per_atom=-1.64 pbc="T T T"
Er 2.2524 -0.5397 0.8036
Er 8.9961 4.5531 -4.2892
Er 9.7514 0.5397 0.8036
Er 8.9961 -2.9459 4.2892
Er 6.9593 -0.8036 2.2524
Er 11.7882 -1.4971 2.9459
Er 0.8036 2.2524 -0.5397
Er 10.4449 3.2098 -1.4971
Er 4.5531 4.2892 -1.4971
Er 6.6954 2.2524 0.5397
Er -0.5397 0.8036 2.2524
Er 4.2892 -1.4971 4.5531
Er 6.9593 6.6954 -2.2524
Er 4.2892 1.4971 2.9459
Er 4.5531 -4.2892 8.9961
Er 6.6954 -2.2524 6.9593
Er 2.9459 4.2892 1.4971
Er 8.3026 5.2466 0.5397
Er 4.2892 8.9961 -2.9459
Er 6.9593 0.8036 5.2466
Er 2.2524 6.9593 -0.8036
Er 8.9961 2.9459 3.2098
Er 1.4971 2.9459 4.2892
Er 2.2524 0.5397 6.6954
Er 5.2466 6.9593 0.8036
Er 6.0019 4.5531 3.2098
Er -1.4971 4.5531 4.2892
Er 5.2466 0.5397 8.3026
Er 0.5397 6.6954 2.2524
Er 3.2098 -1.4971 10.4449
Er -0.8036 2.2524 6.9593
Er 4.5531 3.2098 6.0019
Er 0.8036 9.7514 0.5397
Er 2.9459 11.7882 -1.4971
Er 3.2098 6.0019 4.5531
Er 0.5397 0.8036 9.7514
Er 3.2098 8.9961 2.9459
Er 8.0387 6.6954 5.2466
Er 0.8036 5.2466 6.9593
Er 2.9459 3.2098 8.9961
Er -2.9459 4.2892 8.9961
Er 6.6954 5.2466 8.0387
Er -4.2892 8.9961 4.5531
Er 0.5397 8.3026 5.2466
Er -1.4971 10.4449 3.2098
Er -2.2524 6.9593 6.6954
Er -1.4971 2.9459 11.7882
Er 5.2466 8.0387 6.6954
Si 3.7495 1.8748 0.0000
Si 7.4990 3.7495 -1.8748
Si 1.8748 0.0000 3.7495
Si 9.3738 0.0000 3.7495
Si 0.0000 3.7495 1.8748
Si 3.7495 -1.8748 7.4990
Si 3.7495 9.3738 0.0000
Si 7.4990 3.7495 5.6243
Si -1.8748 7.4990 3.7495
Si 5.6243 7.4990 3.7495
Si 0.0000 3.7495 9.3738
Si 3.7495 5.6243 7.4990
O 0.0000 0.0000 0.0000
O 3.7495 3.7495 -3.7495
O 3.7495 -3.7495 3.7495
O 7.4990 0.0000 0.0000
O 11.2485 1.8748 0.0000
O 7.4990 -3.7495 5.6243
O 5.6243 7.4990 -3.7495
O 5.6243 0.0000 3.7495
O 3.7495 5.6243 0.0000
O 7.4990 3.7495 1.8748
O -3.7495 3.7495 3.7495
O 0.0000 7.4990 0.0000
O 0.0000 0.0000 7.4990
O 3.7495 3.7495 3.7495
O 0.0000 3.7495 5.6243
O 3.7495 1.8748 7.4990
O 1.8748 7.4990 3.7495
O 1.8748 0.0000 11.2485
O 0.0000 11.2485 1.8748
O -3.7495 5.6243 7.4990

***

# 4
22
Lattice="4.7473 0.0000 0.0000 0.0000 10.8136 0.0000 -0.5998 0.0000 5.5525" Properties=species:S:1:pos:R:3 comment="Er2Si2O7 | Alexandria | PBE | relaxed" space_group="No. 14" density_g_cm3=5.86 dft_energy_ev_per_atom=-8.2247 dos_ef_per_ev_cell=0.0 formation_energy_uncorrected_ev_per_atom=-3.25 pbc="T T T"
Er 0.2694 1.6366 2.2613
Er -0.0305 3.7702 5.0376
Er 4.1779 7.0434 0.5150
Er 3.8780 9.1770 3.2912
Si 1.3261 6.6224 3.5855
Si 1.6260 9.5979 0.8092
Si 2.5215 1.2157 4.7433
Si 2.8214 4.1911 1.9671
O 0.3126 7.3940 2.5516
O 0.0127 8.8264 5.3279
O 0.4465 5.9513 4.8154
O 0.7464 10.2691 2.0391
O 1.3527 2.1937 4.1341
O 1.6526 3.2131 1.3578
O 2.3736 0.0000 0.0000
O 2.0737 5.4068 2.7763
O 2.4948 7.6005 4.1947
O 2.7947 8.6199 1.4184
O 3.4011 0.5445 3.5134
O 3.7010 4.8623 0.7371
O 4.1347 1.9872 0.2247
O 3.8348 3.4196 3.0009

***

# 5
11
Lattice="3.4274 -4.4971 0.0000 3.4274 4.4971 0.0000 -0.9941 0.0000 4.6694" Properties=species:S:1:pos:R:3 comment="Er2Si2O7 | Alexandria | PBE | relaxed" space_group="No. 12" density_g_cm3=5.80 dft_energy_ev_per_atom=-8.2278 dos_ef_per_ev_cell=0.0 formation_energy_uncorrected_ev_per_atom=-3.26 pbc="T T T"
Er 3.4274 2.7681 0.0000
Er 3.4274 -2.7681 0.0000
Si 1.3410 0.0000 2.7542
Si 4.5197 0.0000 1.9151
O 1.0378 1.3528 3.6463
O 0.5174 0.0000 1.3355
O 1.0378 -1.3528 3.6463
O 2.9304 0.0000 2.3347
O 4.8230 1.3528 1.0231
O 5.3433 0.0000 3.3339
O 4.8230 -1.3528 1.0231

***

# 6
20
Lattice="4.4859 -5.4436 0.0000 4.4859 5.4436 0.0000 0.0000 0.0000 5.2960" Properties=species:S:1:pos:R:3 comment="Er3SiO6 | Alexandria | PBE | relaxed" space_group="No. 36" density_g_cm3=8.04 dft_energy_ev_per_atom=-8.0922 dos_ef_per_ev_cell=5.2 formation_energy_uncorrected_ev_per_atom=-3.21 pbc="T T T"
Er 4.4859 4.3480 2.6480
Er 2.7571 1.0730 2.3436
Er 2.7571 -1.0730 4.9917
Er 6.2147 1.0730 2.3436
Er 6.2147 -1.0730 4.9917
Er 4.4859 -4.3480 0.0000
Si 4.4859 2.0642 4.8529
Si 4.4859 -2.0642 2.2049
O 3.2003 2.8097 4.0668
O 1.3879 0.2272 3.8198
O 1.3879 -0.2272 1.1718
O 4.4859 2.3356 1.2017
O 5.7714 2.8097 4.0668
O 4.4859 0.5135 4.1604
O 4.4859 -0.5135 1.5123
O 3.2003 -2.8097 1.4188
O 4.4859 -2.3356 3.8497
O 7.5839 0.2272 3.8198
O 7.5839 -0.2272 1.1718
O 5.7714 -2.8097 1.4188

***

# 7
18
Lattice="5.2002 -4.8319 0.0000 5.2002 4.8319 0.0000 -1.6619 0.0000 5.1959" Properties=species:S:1:pos:R:3 comment="ErSi2O6 | Alexandria | PBE | relaxed" space_group="No. 15" density_g_cm3=4.06 dft_energy_ev_per_atom=-7.7631 dos_ef_per_ev_cell=8.4 formation_energy_uncorrected_ev_per_atom=-2.75 pbc="T T T"
Er 3.9538 3.7035 3.8969
Er 4.7847 -3.7035 1.2990
Si 1.7800 0.7082 3.8764
Si 2.6110 -0.7082 1.2785
Si 6.1275 0.7082 3.9174
Si 6.9584 -0.7082 1.3195
O 0.2405 0.5466 3.3519
O 2.3152 2.2349 4.0057
O 1.0714 -0.5466 0.7539
O 3.6082 0.0261 0.1749
O 2.7773 -0.0261 2.7728
O 5.5924 2.2349 3.7882
O 3.1461 -2.2349 1.4077
O 5.9612 0.0261 2.4231
O 5.1303 -0.0261 5.0210
O 7.6671 0.5466 4.4420
O 6.4233 -2.2349 1.1902
O 8.4980 -0.5466 1.8440

***

# 8
16
Lattice="3.3571 0.0000 0.0000 0.0000 11.4397 0.0000 0.0000 0.0000 4.9217" Properties=species:S:1:pos:R:3 comment="ErSi2O5 | Alexandria | PBE | relaxed" space_group="No. 59" density_g_cm3=5.33 dft_energy_ev_per_atom=-7.5881 dos_ef_per_ev_cell=1.4 formation_energy_uncorrected_ev_per_atom=-2.56 pbc="T T T"
Er 0.8393 2.8599 0.3213
Er 2.5178 8.5798 4.6004
Si 0.8393 6.9270 2.2062
Si 0.8393 10.2325 2.2062
Si 2.5178 1.2072 2.7155
Si 2.5178 4.5127 2.7155
O 0.8393 0.8959 2.1331
O 0.8393 4.8240 2.1331
O 0.8393 7.2731 0.6107
O 0.8393 8.5798 2.9497
O 0.8393 9.8864 0.6107
O 2.5178 1.5533 4.3110
O 2.5178 2.8599 1.9721
O 2.5178 4.1666 4.3110
O 2.5178 6.6157 2.7886
O 2.5178 10.5439 2.7886

***

# 9
10
Lattice="1.7296 -5.2753 0.0000 1.7296 5.2753 0.0000 0.0000 0.0000 6.7935" Properties=species:S:1:pos:R:3 comment="ErSiO3 | Alexandria | PBE | relaxed" space_group="No. 63" density_g_cm3=6.52 dft_energy_ev_per_atom=-7.6003 dos_ef_per_ev_cell=1.2 formation_energy_uncorrected_ev_per_atom=-2.63 pbc="T T T"
Er 1.7296 2.7949 5.0951
Er 1.7296 -2.7949 1.6984
Si 1.7296 0.0000 0.0000
Si 1.7296 0.0000 3.3968
O 1.7296 1.6886 0.3939
O 1.7296 1.6886 3.0028
O 1.7296 0.5271 5.0951
O 1.7296 -0.5271 1.6984
O 1.7296 -1.6886 3.7907
O 1.7296 -1.6886 6.3996

***

# 10
12
Lattice="-3.5316 3.5316 3.1566 3.5316 -3.5316 3.1566 3.5316 3.5316 -3.1566" Properties=species:S:1:pos:R:3 comment="ErThSi2O8 | Alexandria | PBE | relaxed" space_group="No. 119" density_g_cm3=6.15 dft_energy_ev_per_atom=-8.2956 dos_ef_per_ev_cell=8.8 formation_energy_uncorrected_ev_per_atom=-3.09 pbc="T T T"
Er 0.0000 0.0000 0.0000
Th 0.0000 3.5316 1.5783
Si 3.5316 0.0000 1.5783
Si 0.0000 0.0000 3.1566
O 2.2533 0.0000 0.5369
O 4.8099 0.0000 0.5369
O 3.5316 2.2903 -1.0778
O 3.5316 -1.2783 2.6197
O 0.0000 1.2413 2.0788
O 3.5316 1.2783 2.6197
O 2.2903 3.5316 1.0778
O 1.2413 0.0000 4.2344

***

# 11
12
Lattice="-3.3417 3.3417 3.0066 3.3417 -3.3417 3.0066 3.3417 3.3417 -3.0066" Properties=species:S:1:pos:R:3 comment="ErTiSi2O8 | Alexandria | PBE | relaxed" space_group="No. 119" density_g_cm3=4.94 dft_energy_ev_per_atom=-7.9801 dos_ef_per_ev_cell=8.1 formation_energy_uncorrected_ev_per_atom=-2.73 pbc="T T T"
Er 0.0000 0.0000 0.0000
Ti 3.3417 0.0000 1.5033
Si 0.0000 0.0000 3.0066
Si 0.0000 3.3417 1.5033
O 2.0376 3.3417 -1.0145
O 1.3041 0.0000 1.9921
O 0.0000 2.1628 0.3811
O 3.3417 2.0376 1.0145
O 0.0000 4.5205 0.3811
O 0.0000 1.3041 4.0212
O -1.1789 3.3417 2.6255
O 1.1789 3.3417 2.6255

***

# 12
56
Lattice="4.9134 0.0000 0.0000 0.0000 11.2514 0.0000 -1.2219 0.0000 12.3327" Properties=species:S:1:pos:R:3 comment="Y3ErTi4Si2O18 | Alexandria | PBE | relaxed" space_group="No. 4" density_g_cm3=4.72 dft_energy_ev_per_atom=-8.7959 dos_ef_per_ev_cell=0.0 formation_energy_uncorrected_ev_per_atom=-3.24 pbc="T T T"
Y 0.8824 0.0000 0.8447
Y 0.4388 3.1427 7.1327
Y 0.7942 0.0343 5.2109
Y 2.8974 5.6600 7.1218
Y 3.2528 8.7684 5.2000
Y 2.8091 5.6257 11.4879
Er 0.3724 3.1820 11.4843
Er 3.3191 8.8077 0.8484
Ti -0.7939 9.0492 10.4953
Ti -0.0364 5.3655 4.4367
Ti 1.2714 9.0578 7.8941
Ti 2.0264 5.3835 1.8466
Ti 1.6652 11.0092 10.4861
Ti 2.4201 3.4321 4.4386
Ti 3.7279 10.9912 7.8960
Ti 4.4855 3.4235 1.8374
Si 0.5971 8.2841 3.0415
Si 0.6435 6.1432 9.2846
Si 3.0480 0.5175 3.0481
Si 3.0944 2.6584 9.2912
O -0.4041 1.0474 6.9575
O 0.3269 2.1789 0.8029
O -0.2516 9.5945 6.8266
O 0.5102 4.8300 0.7902
O -0.1759 2.7364 9.3212
O 0.1087 5.3781 7.9336
O 0.2174 7.7743 9.2170
O 0.2365 10.4981 9.1897
O 0.1716 5.4118 10.6798
O 1.1016 9.0024 1.6541
O 0.9977 3.9272 3.1443
O 1.0127 6.6502 3.1235
O 1.1233 9.0483 4.3978
O 1.4037 0.4564 3.0375
O 0.7309 9.6020 11.5484
O 1.4858 4.8302 5.5052
O 0.9214 1.0274 11.4990
O 1.6424 2.1298 5.3850
O 2.0492 7.7555 6.9477
O 2.7702 6.6531 0.8337
O 2.2057 10.4559 6.8275
O 2.9606 3.9763 0.7843
O 2.2878 6.0821 9.2952
O 2.5683 3.4226 7.9349
O 2.6788 1.0245 9.2092
O 2.6939 9.5529 9.1884
O 2.5900 3.3767 10.6786
O 3.5200 11.0375 1.6529
O 3.4551 4.8724 3.1430
O 3.4741 2.1486 3.1157
O 3.5829 11.0038 4.3990
O 3.8675 8.3621 3.0115
O 3.1814 10.4557 11.5425
O 3.9431 3.9688 5.5061
O 3.3646 7.8046 11.5297
O 4.0956 6.6731 5.3752

***

# 13
14
Lattice="5.6700 0.0000 0.0000 0.0000 5.6680 0.0000 -2.2201 0.0000 7.4631" Properties=species:S:1:pos:R:3 comment="ErTlSiO4 | Alexandria | PBE | relaxed" space_group="No. 11" density_g_cm3=6.42 dft_energy_ev_per_atom=-7.2271 dos_ef_per_ev_cell=0.0 formation_energy_uncorrected_ev_per_atom=-2.63 pbc="T T T"
Er 1.0905 1.4170 0.3797
Er 2.3595 4.2510 7.0834
Tl 0.4794 1.4170 4.4961
Tl 2.9705 4.2510 2.9670
Si -0.4475 4.2510 6.3823
Si 3.8975 1.4170 1.0808
O -1.5006 2.9737 6.2684
O -1.5006 5.5282 6.2684
O 0.8534 4.2510 5.3902
O 2.4252 4.2510 0.4404
O 1.0247 1.4170 7.0228
O 2.5965 1.4170 2.0730
O 4.9505 0.1398 1.1948
O 4.9505 2.6942 1.1948

***

# 14
14
Lattice="12.5741 0.0000 0.0000 0.0000 3.3911 0.0000 -2.6645 0.0000 5.1730" Properties=species:S:1:pos:R:3 comment="SmEr2O4 | Alexandria | PBE | relaxed" space_group="No. 12" density_g_cm3=8.26 dft_energy_ev_per_atom=-8.0370 dos_ef_per_ev_cell=4.0 formation_energy_uncorrected_ev_per_atom=-3.23 pbc="T T T"
Sm 0.0000 0.0000 0.0000
Sm 6.2870 1.6956 0.0000
Er 0.7812 1.6956 3.6775
Er 2.8413 0.0000 1.4955
Er 7.0683 0.0000 3.6775
Er 9.1284 1.6956 1.4955
O 0.6124 0.0000 2.2718
O 1.8842 1.6956 0.0918
O 1.7384 0.0000 5.0813
O 3.0102 1.6956 2.9012
O 6.8994 1.6956 2.2718
O 8.1712 0.0000 0.0918
O 8.0254 1.6956 5.0813
O 9.2972 0.0000 2.9012

***

# 15
12
Lattice="3.5711 0.0000 0.0000 -1.7856 3.0927 0.0000 0.0000 0.0000 19.9320" Properties=species:S:1:pos:R:3 comment="SmErO2 | Alexandria | PBE | relaxed" space_group="No. 166" density_g_cm3=7.91 dft_energy_ev_per_atom=-7.6773 dos_ef_per_ev_cell=1.9 formation_energy_uncorrected_ev_per_atom=-2.88 pbc="T T T"
Sm 0.0000 0.0000 0.0000
Sm 0.0000 2.0618 13.2880
Sm 1.7856 1.0309 6.6440
Er 0.0000 0.0000 9.9660
Er 0.0000 2.0618 3.3220
Er 1.7856 1.0309 16.6100
O 0.0000 0.0000 2.2816
O 0.0000 0.0000 17.6504
O 0.0000 2.0618 11.0064
O 0.0000 2.0618 15.5696
O 1.7856 1.0309 4.3624
O 1.7856 1.0309 8.9256